No. 1
Density functional theory data (GGA-PBE) for a relaxed LaAl11Pt crystal.

Results
Crystal system: monoclinic
Energy, eV/atom: -4.3219
Formation energy from the elements, eV per atom: -0.311
Symmetry: C2/m

Cell: 5.2577 7.3674 6.8634 Å, 82.43 67.48 69.87°
Sites, in units of the cell vectors:
Al 0.3531 0.6426 0.6466
Al 0.9996 0.6426 0.3534
Al 0.0004 0.3574 0.6466
Al 0.4996 0.2281 0.7795
Al 0.0000 0.0000 0.5000
Al 0.7208 0.7719 0.7795
La 0.0000 0.0000 0.0000
Al 0.0000 0.5000 0.0000
Al 0.5000 0.0000 0.5000
Al 0.5004 0.7719 0.2205
Al 0.2792 0.2281 0.2205
Pt 0.5000 0.5000 0.0000
Al 0.6469 0.3574 0.3534



No. 2
Density functional theory data (GGA-PBE) for a relaxed LaAl3Pt crystal.

Results
Crystal system: orthorhombic
Energy, eV/atom: -5.2647
Formation energy from the elements, eV per atom: -0.825
Symmetry: Pnma

Cell: 4.3017 8.4691 11.1587 Å, 90.00 90.00 90.00°
Sites, in units of the cell vectors:
La 0.7500 0.8142 0.0150
Al 0.2500 0.5590 0.0846
Al 0.2500 0.0590 0.4154
Al 0.7500 0.6194 0.2935
Pt 0.7500 0.4041 0.1460
La 0.2500 0.1858 0.9850
Al 0.2500 0.3587 0.2782
Al 0.2500 0.8806 0.7935
Al 0.7500 0.1413 0.7782
Al 0.7500 0.4410 0.9154
Al 0.7500 0.9410 0.5846
Pt 0.2500 0.5959 0.8540
La 0.7500 0.3142 0.4850
Al 0.2500 0.3806 0.7065
Pt 0.7500 0.9041 0.3540
La 0.2500 0.6858 0.5150
Al 0.7500 0.6413 0.7218
Pt 0.2500 0.0959 0.6460
Al 0.7500 0.1194 0.2065
Al 0.2500 0.8587 0.2218